## CdWI2O (PBE+U)

Data for a geometry-optimized CdWI2O structure.

Lattice parameters (Å, degrees): 6.014 6.014 3.910 90.00 90.00 90.00
Fractional positions:
Cd 0.000 0.000 0.000
W 0.500 0.500 0.500
I 0.000 0.500 0.500
I 0.500 0.000 0.500
O 0.500 0.500 0.000

Values from the calculation:
Crystal system = tetragonal
Calculated total energy = -3.583 eV/atom